No. 1
Density functional theory data (PBE) for a relaxed ScIrSeO2 crystal.

Cell lengths 3.9255, 3.9255, 4.7889 Å; angles 90.00, 90.00, 90.00 degrees
Space group P4/mmm (No. 123)
Symmetry-distinct sites (fractional):
Sc 0.0000 0.0000 0.0000 (multiplicity 1)
Ir 0.5000 0.5000 0.0000 (multiplicity 1)
Se 0.5000 0.5000 0.5000 (multiplicity 1)
O 0.0000 0.5000 0.5000 (multiplicity 2)

- N(E_F) (states/eV per cell) = 0.4
- V (Å³/f.u.) = 73.79

No. 2
Density functional theory data (PBE) for a relaxed SmScIrO6 crystal.

Cell lengths 5.3130, 5.3130, 10.0132 Å; angles 90.00, 90.00, 120.00 degrees
Space group P-31c (No. 163)
Symmetry-distinct sites (fractional):
Sm 0.0000 0.0000 0.0000 (multiplicity 2)
Sc 0.3333 0.6667 0.2500 (multiplicity 2)
Ir 0.3333 0.6667 0.7500 (multiplicity 2)
O 0.0224 0.3690 0.6402 (multiplicity 12)

- N(E_F) (states/eV per cell) = 4.7
- V (Å³/f.u.) = 122.39

No. 3
Density functional theory data (PBE) for a relaxed Sc4SnIrO crystal.

Cell lengths 6.0898, 14.4730, 6.0879 Å; angles 90.00, 90.00, 90.00 degrees
Space group Cmcm (No. 63)
Symmetry-distinct sites (fractional):
Sc 0.0000 0.0591 0.2500 (multiplicity 4)
Sc 0.0000 0.4101 0.2500 (multiplicity 4)
Sc 0.2500 0.2500 0.0000 (multiplicity 8)
Sn 0.0000 0.3921 0.7500 (multiplicity 4)
Ir 0.0000 0.1213 0.7500 (multiplicity 4)
O 0.0000 0.2567 0.2500 (multiplicity 4)

- N(E_F) (states/eV per cell) = 26.5
- V (Å³/f.u.) = 134.14

No. 4
Density functional theory data (PBE) for a relaxed ScSnIrO6 crystal.

Cell lengths 5.2027, 5.2027, 9.0885 Å; angles 90.00, 90.00, 120.00 degrees
Space group P-31c (No. 163)
Symmetry-distinct sites (fractional):
Sc 0.3333 0.6667 0.2500 (multiplicity 2)
Sn 0.0000 0.0000 0.0000 (multiplicity 2)
Ir 0.3333 0.6667 0.7500 (multiplicity 2)
O 0.0155 0.3494 0.6275 (multiplicity 12)

- N(E_F) (states/eV per cell) = 11.7
- V (Å³/f.u.) = 106.52

| no. | ρ (Mg/m³) | uncorrected energy (eV per atom) |
| --- | --- | --- |
| 1 | 7.8 | -6.085 |
| 2 | 6.6 | -7.715 |
| 3 | 6.3 | -7.449 |
| 4 | 7.0 | -7.124 |